Compound: Rb3VO3
Source: Alexandria via LeMat-Bulk
Functional: PBE with a Hubbard U
Structure: optimized geometry

Cell and atoms, written as POSCAR:
```
Rb3VO3
1.0
6.845 0.000 0.000
0.000 7.102 0.182
0.000 1.901 19.444
Rb O V
12 12 4
direct
0.128 0.037 0.111
0.628 0.963 0.389
0.191 0.399 0.953
0.309 0.399 0.453
0.872 0.963 0.889
0.913 0.445 0.333
0.587 0.445 0.833
0.691 0.601 0.547
0.413 0.555 0.167
0.372 0.037 0.611
0.809 0.601 0.047
0.087 0.555 0.667
0.055 0.303 0.571
0.654 0.206 0.517
0.020 0.110 0.443
0.480 0.110 0.943
0.154 0.794 0.983
0.520 0.890 0.057
0.846 0.206 0.017
0.555 0.697 0.929
0.980 0.890 0.557
0.346 0.794 0.483
0.945 0.697 0.429
0.445 0.303 0.071
0.096 0.849 0.470
0.596 0.151 0.030
0.404 0.849 0.970
0.904 0.151 0.530
```

## Properties
- total energy (eV/cell) = -144.1